No. 1
Computed, not measured: a relaxed structure of NdSm2Th at the PBE-GGA level of DFT.

a = 11.9560 Å, b = 11.9560 Å, c = 11.9560 Å
α = 17.50°, β = 17.50°, γ = 17.50°
Sites, in units of the cell vectors:
Nd 0.0000 0.0000 0.0000
Sm 0.5803 0.5803 0.5803
Sm 0.7525 0.7525 0.7525
Th 0.1665 0.1665 0.1665

Results
Total magnetic moment (μB/cell): 0.00
E above lowest polymorph (eV/f.u.): 0.000
Energy of formation (eV/atom): 0.020


No. 2
Computed, not measured: a relaxed structure of InSnPdS4 at the PBE-GGA level of DFT.

a = 7.8847 Å, b = 7.8847 Å, c = 7.8847 Å
α = 125.17°, β = 123.23°, γ = 82.88°
Sites, in units of the cell vectors:
In 0.4087 0.1587 0.2500
In 0.5913 0.8413 0.7500
Sn 0.0000 0.5000 0.5000
Sn 0.5000 0.5000 0.0000
Pd 0.0000 0.0000 0.5000
Pd 0.0000 0.5000 0.0000
S 0.1825 0.7253 0.4572
S 0.2320 0.2747 0.9572
S 0.2528 0.2476 0.4948
S 0.2528 0.7579 0.0052
S 0.7472 0.2421 0.9948
S 0.7472 0.7524 0.5052
S 0.7680 0.7253 0.0428
S 0.8175 0.2747 0.5428

Results
Total magnetic moment (μB/cell): 0.00
Raw formation energy (eV per atom): -0.337


No. 3
Computed, not measured: a relaxed structure of Re5Hg at the PBE-GGA level of DFT.

a = 5.3442 Å, b = 5.3442 Å, c = 6.6679 Å
α = 104.35°, β = 104.35°, γ = 30.97°
Sites, in units of the cell vectors:
Re 0.0000 0.0000 0.0000
Re 0.0446 0.0446 0.6185
Re 0.3412 0.3412 0.6895
Re 0.3895 0.3895 0.2682
Re 0.7247 0.7247 0.9385
Hg 0.6705 0.6705 0.3459

Results
Total magnetic moment (μB/cell): 0.00
E above lowest polymorph (eV/f.u.): 0.161
Energy of formation (eV/atom): 0.381


No. 4
Computed, not measured: a relaxed structure of Ce2Ge2Pd at the PBE-GGA level of DFT.

a = 5.7944 Å, b = 5.7944 Å, c = 10.6233 Å
α = 115.44°, β = 115.44°, γ = 44.75°
Sites, in units of the cell vectors:
Ce 0.0129 0.0129 0.3297
Ce 0.1877 0.1877 0.1094
Ce 0.8123 0.8123 0.8906
Ce 0.9871 0.9871 0.6703
Ge 0.3619 0.3619 0.4356
Ge 0.4779 0.4779 0.1144
Ge 0.5221 0.5221 0.8856
Ge 0.6381 0.6381 0.5644
Pd 0.2756 0.2756 0.6556
Pd 0.7244 0.7244 0.3444

Results
Total magnetic moment (μB/cell): 3.15
E above lowest polymorph (eV/f.u.): 0.000
Energy of formation (eV/atom): -0.820


Number 1: final energy -21.55 eV/cell. Number 2: final energy -61.61 eV/cell. Number 3: final energy -60.25 eV/cell. Number 4: final energy -60.79 eV/cell.